(1)
Below is an optimized crystal structure of GaB2Te, with properties calculated at the GGA-PBE level.

Results
offset from the most stable computed form: 0.00 eV/f.u.
calculated volume: 16.63 Å³/atom
final energy: -4.252 eV/atom

a b c (Å): 5.1254 5.1254 6.2269
angles (deg): 65.70 65.70 90.00
With the nearest neighbours (Å) after each atom.
Fractional coordinates of all 8 atoms:
Ga1 0.2500 0.7500 0.5000  4 B 2.15
Ga2 0.5000 0.5000 0.0000  4 B 2.15
B1 0.6056 0.1250 0.2500  2 Ga 2.15, 2 Te 2.27
B2 0.3750 0.3944 0.7500  2 Ga 2.15, 2 Te 2.27
B3 0.1444 0.6250 0.2500  2 Ga 2.15, 2 Te 2.27
B4 0.8750 0.8556 0.7500  2 Ga 2.15, 2 Te 2.27
Te1 0.7500 0.2500 0.5000  4 B 2.27
Te2 0.0000 0.0000 0.0000  4 B 2.27

(2)
Below is an optimized crystal structure of Ga3BTe, with properties calculated at the GGA-PBE level.

Results
offset from the most stable computed form: 6.83 eV/f.u.
calculated volume: 35.56 Å³/atom
final energy: -2.233 eV/atom

a b c (Å): 5.6232 5.6232 5.6232
angles (deg): 90.00 90.00 90.00
With the nearest neighbours (Å) after each atom.
Fractional coordinates of all 5 atoms:
B1 0.5000 0.5000 0.5000  12 Ga 3.98
Te1 0.0000 0.0000 0.0000  6 Ga 2.81
Ga1 0.0000 0.0000 0.5000  2 Te 2.81
Ga2 0.0000 0.5000 0.0000  2 Te 2.81
Ga3 0.5000 0.0000 0.0000  2 Te 2.81

(3)
Below is an optimized crystal structure of Ga2BTe2, with properties calculated at the GGA-PBE level.

Results
calculated volume: 23.42 Å³/atom
final energy: -3.304 eV/atom

a b c (Å): 5.9984 5.9984 5.3465
angles (deg): 55.88 55.88 90.00
With the nearest neighbours (Å) after each atom.
Fractional coordinates of all 5 atoms:
Te1 0.2500 0.7500 0.5000  4 Ga 3.03, 2 Te 3.25
Te2 0.7500 0.2500 0.5000  4 Ga 3.03, 2 Te 3.25
Ga1 0.6893 0.6893 0.6213  1 B 2.02
Ga2 0.3107 0.3107 0.3787  1 B 2.02
B1 0.0000 0.0000 0.0000  2 Ga 2.02

(4)
Below is an optimized crystal structure of GaBTe, with properties calculated at the GGA-PBE level.

Results
calculated volume: 21.74 Å³/atom
final energy: -4.133 eV/atom

a b c (Å): 4.4454 7.1298 8.4138
angles (deg): 101.97 90.00 90.00
With the nearest neighbours (Å) after each atom.
Fractional coordinates of all 12 atoms:
Ga1 0.7639 0.8419 0.1391  3 B 2.11-2.35
Ga2 0.7361 0.3419 0.1391  3 B 2.11-2.35
Ga3 0.2639 0.6581 0.8609  3 B 2.11-2.35
Ga4 0.2361 0.1581 0.8609  3 B 2.11-2.35
B1 0.0292 0.5919 0.0773  1 B 1.66
B2 0.4708 0.0919 0.0773  1 B 1.66
B3 0.9708 0.4081 0.9227  1 B 1.66
B4 0.5292 0.9081 0.9227  1 B 1.66
Te1 0.8644 0.8656 0.7095  1 B 2.30
Te2 0.6356 0.3656 0.7095  1 B 2.30
Te3 0.1356 0.1344 0.2905  1 B 2.30
Te4 0.3644 0.6344 0.2905  1 B 2.30

(5)
Below is an optimized crystal structure of YGaB2Te, with properties calculated at the GGA-PBE level.

Results
calculated volume: 21.42 Å³/atom
final energy: -4.466 eV/atom

a b c (Å): 4.2136 6.0320 4.2136
angles (deg): 90.00 90.00 90.00
With the nearest neighbours (Å) after each atom.
Fractional coordinates of all 5 atoms:
Y1 0.0000 0.5000 0.0000  4 Te 2.98, 2 Ga 3.02
B1 0.0000 0.0000 0.5000  2 Ga 2.11
B2 0.5000 0.0000 0.0000  2 Ga 2.11
Ga1 0.0000 0.0000 0.0000  4 B 2.11
Te1 0.5000 0.5000 0.5000  4 Y 2.98

(6)
Below is an optimized crystal structure of Ti3GaB, with properties calculated at the GGA-PBE level.

Results
offset from the most stable computed form: 0.00 eV/f.u.
calculated volume: 14.61 Å³/atom
E_form: -425 meV per atom
final energy: -7.103 eV/atom

a b c (Å): 3.2116 5.4107 9.2035
angles (deg): 106.11 90.00 107.26
With the nearest neighbours (Å) after each atom.
Fractional coordinates of all 10 atoms:
B1 0.4071 0.8142 0.4629  1 B 1.84
B2 0.5929 0.1858 0.5371  1 B 1.84
Ti1 0.2556 0.5113 0.6377  3 B 2.31-2.55
Ti2 0.6351 0.2701 0.8845  5 Ga 2.74-2.91, 2 Ti 2.84
Ti3 0.7444 0.4887 0.3623  3 B 2.31-2.55
Ti4 0.0170 0.0340 0.3606  4 B 2.26-2.32
Ti5 0.9830 0.9660 0.6394  4 B 2.26-2.32
Ti6 0.3649 0.7299 0.1155  5 Ga 2.74-2.91, 2 Ti 2.84
Ga1 0.8990 0.7980 0.8814  1 Ga 2.54, 6 Ti 2.61-2.81
Ga2 0.1010 0.2020 0.1186  1 Ga 2.54, 6 Ti 2.61-2.81

(7)
Below is an optimized crystal structure of TiGaB3, with properties calculated at the GGA-PBE level.

Results
offset from the most stable computed form: 0.09 eV/f.u.
calculated volume: 12.69 Å³/atom
E_form: 1576 meV per atom
final energy: -4.615 eV/atom

a b c (Å): 3.9882 3.9882 3.9882
angles (deg): 90.00 90.00 90.00
With the nearest neighbours (Å) after each atom.
Fractional coordinates of all 5 atoms:
Ti1 0.5000 0.5000 0.5000  12 B 2.82
B1 0.0000 0.0000 0.5000  2 Ga 1.99
B2 0.0000 0.5000 0.0000  2 Ga 1.99
B3 0.5000 0.0000 0.0000  2 Ga 1.99
Ga1 0.0000 0.0000 0.0000  6 B 1.99

(8)
Below is an optimized crystal structure of Ti2GaB, with properties calculated at the GGA-PBE level.

Results
offset from the most stable computed form: 1.86 eV/f.u.
calculated volume: 13.45 Å³/atom
E_form: 45 meV per atom
final energy: -6.328 eV/atom

a b c (Å): 4.2379 4.2379 4.2379
angles (deg): 60.00 60.00 60.00
With the nearest neighbours (Å) after each atom.
Fractional coordinates of all 4 atoms:
Ga1 0.5000 0.5000 0.5000  8 Ti 2.60
B1 0.0000 0.0000 0.0000  8 Ti 2.60
Ti1 0.7500 0.7500 0.7500  4 Ga 2.60, 4 B 2.60
Ti2 0.2500 0.2500 0.2500  4 B 2.60, 4 Ga 2.60

> final energy of number 5 (YGaB2Te)?

-4.466 eV/atom

> What is the calculated volume in the fifth record?

21.42 Å³/atom

> The highest final energy belongs to which entry?

Ga3BTe